Record 1
## LaPrDy2Sb4 (GGA-PBE)

Data for an optimized crystal structure of LaPrDy2Sb4.

Values from the calculation:
- Uncorrected formation energy: -1.18 eV per atom
- E: -44.83 eV/cell

a = 7.7650 Å, b = 4.4953 Å, c = 7.7811 Å
α = 90.00°, β = 109.51°, γ = 90.00°
Fractional coordinates of all 8 atoms:
La 0.0000 0.0000 0.0000
Pr 0.0000 0.5000 0.5000
Dy 0.5000 0.0000 0.5000
Dy 0.5000 0.5000 0.0000
Sb 0.2618 0.0000 0.7529
Sb 0.2627 0.5000 0.2553
Sb 0.7373 0.5000 0.7447
Sb 0.7382 0.0000 0.2471

=====

Record 2
## La2Pr4DySc (GGA-PBE)

Data for an optimized crystal structure of La2Pr4DySc.

Values from the calculation:
- Formation enthalpy at 0 K: 0.038 eV/atom
- E: -39.61 eV/cell

a = 5.1179 Å, b = 5.1563 Å, c = 10.3523 Å
α = 90.00°, β = 90.05°, γ = 90.00°
Fractional coordinates of all 8 atoms:
La 0.0000 0.0000 0.0000
La 0.5000 0.5000 0.5000
Pr 0.0000 0.5000 0.2540
Pr 0.0000 0.5000 0.7460
Pr 0.4994 0.0000 0.7452
Pr 0.5006 0.0000 0.2548
Dy 0.5000 0.5000 0.0000
Sc 0.0000 0.0000 0.5000

=====

Record 3
## LaPr2Dy5Sc (GGA-PBE)

Data for an optimized crystal structure of LaPr2Dy5Sc.

Values from the calculation:
- Formation enthalpy at 0 K: 0.267 eV/atom
- E: -82.84 eV/cell

a = 9.9163 Å, b = 9.9163 Å, c = 9.9163 Å
α = 127.97°, β = 127.97°, γ = 76.68°
Fractional coordinates of all 18 atoms:
La 0.2500 0.2500 0.0000
La 0.7500 0.7500 0.0000
Pr 0.1199 0.6199 0.7398
Pr 0.3801 0.1199 0.5000
Pr 0.6199 0.8801 0.5000
Pr 0.8801 0.3801 0.2602
Dy 0.0000 0.0000 0.0000
Dy 0.0658 0.1543 0.5000
Dy 0.1543 0.6543 0.0885
Dy 0.3457 0.4342 0.5000
Dy 0.4342 0.9342 0.0885
Dy 0.5000 0.5000 0.0000
Dy 0.5658 0.0658 0.9115
Dy 0.6543 0.5658 0.5000
Dy 0.8457 0.3457 0.9115
Dy 0.9342 0.8457 0.5000
Sc 0.2500 0.7500 0.5000
Sc 0.7500 0.2500 0.5000

=====

Record 4
## La6PrDy2Sc (GGA-PBE)

Data for an optimized crystal structure of La6PrDy2Sc.

Values from the calculation:
- Formation enthalpy at 0 K: 0.187 eV/atom
- E: -48.01 eV/cell

a = 6.5315 Å, b = 6.5315 Å, c = 9.1337 Å
α = 101.98°, β = 101.98°, γ = 69.47°
Fractional coordinates of all 10 atoms:
La 0.0878 0.6438 0.7165
La 0.3350 0.3350 0.0529
La 0.3562 0.9122 0.2835
La 0.6438 0.0878 0.7165
La 0.6650 0.6650 0.9471
La 0.9122 0.3562 0.2835
Pr 0.5000 0.5000 0.5000
Dy 0.1220 0.1220 0.6471
Dy 0.8780 0.8780 0.3529
Sc 0.0000 0.0000 0.0000

=====

Record 5
## LaPr5Dy2Sc (GGA-PBE)

Data for an optimized crystal structure of LaPr5Dy2Sc.

Values from the calculation:
- Formation enthalpy at 0 K: 0.159 eV/atom
- E: -85.86 eV/cell

a = 10.5940 Å, b = 10.5940 Å, c = 10.5998 Å
α = 90.00°, β = 90.00°, γ = 148.67°
Fractional coordinates of all 18 atoms:
La 0.0897 0.9103 0.5000
La 0.9103 0.0897 0.0000
Pr 0.0145 0.9855 0.7847
Pr 0.1259 0.8741 0.0602
Pr 0.2034 0.7966 0.7490
Pr 0.2242 0.7758 0.3631
Pr 0.4837 0.5163 0.0586
Pr 0.5163 0.4837 0.5586
Pr 0.7758 0.2242 0.8631
Pr 0.7966 0.2034 0.2490
Pr 0.8741 0.1259 0.5602
Pr 0.9855 0.0145 0.2847
Dy 0.3836 0.6164 0.7782
Dy 0.3873 0.6127 0.3503
Dy 0.6127 0.3873 0.8503
Dy 0.6164 0.3836 0.2782
Sc 0.3055 0.6945 0.0549
Sc 0.6945 0.3055 0.5549

=====

Record 6
## La2Pr3Dy6Sc (GGA-PBE)

Data for an optimized crystal structure of La2Pr3Dy6Sc.

Values from the calculation:
- Formation enthalpy at 0 K: 0.027 eV/atom
- E: -57.82 eV/cell

a = 6.2335 Å, b = 6.2335 Å, c = 11.8841 Å
α = 95.01°, β = 95.01°, γ = 120.00°
Fractional coordinates of all 12 atoms:
La 0.1661 0.8339 0.0000
La 0.8339 0.1661 0.0000
Pr 0.0000 0.0000 0.5000
Pr 0.3332 0.6668 0.5000
Pr 0.6668 0.3332 0.5000
Dy 0.0880 0.4178 0.7522
Dy 0.2524 0.2524 0.2483
Dy 0.4178 0.0880 0.7522
Dy 0.5822 0.9120 0.2478
Dy 0.7476 0.7476 0.7517
Dy 0.9120 0.5822 0.2478
Sc 0.5000 0.5000 0.0000

=====

no.,DOS at the Fermi energy (states/eV/cell)
1,1.0
2,13.8
3,22.2
4,15.5
5,28.3
6,15.1